This record from Alexandria describes a relaxed structure of Cs2CdInBi2. The functional is PBE.

Computed properties:
Space-group type: Ibam (72)
ΔE_f: -331 meV/atom
DOS(E_F): 2.29 states/eV per cell
Total magnetization: 0.00 μB per atom

a b c (Å): 10.388 10.388 10.388
angles (deg): 137.17 62.29 137.02
Positions (direct):
Cs (0.165, 0.249, 0.414)
Cs (0.335, 0.749, 0.084)
Cs (0.665, 0.251, 0.916)
Cs (0.835, 0.751, 0.586)
Cd (0.250, 0.750, 0.500)
Cd (0.750, 0.250, 0.500)
In (0.250, 0.250, 0.000)
In (0.750, 0.750, 0.000)
Bi (0.093, 0.744, 0.837)
Bi (0.407, 0.244, 0.651)
Bi (0.593, 0.756, 0.349)
Bi (0.907, 0.256, 0.163)